# RbSrTl2O4 | Alexandria | GGA-PBE | relaxed
data_RbSrTl2O4
_chemical_formula_sum 'Rb1 Sr1 Tl2 O4'
_space_group_name_H-M_alt 'P 4/m m m'
_space_group_IT_number 123
_space_group_name_Hall '-P 4 2'
_cell_length_a 4.5002
_cell_length_b 4.5002
_cell_length_c 7.6314
_cell_angle_alpha 90.00
_cell_angle_beta 90.00
_cell_angle_gamma 90.00
loop_
_atom_site_label
_atom_site_type_symbol
_atom_site_fract_x
_atom_site_fract_y
_atom_site_fract_z
Rb1 Rb 0.0000 0.0000 0.0000
Sr1 Sr 0.0000 0.0000 0.5000
Tl1 Tl 0.5000 0.5000 0.2667
O1 O 0.0000 0.5000 0.2880
# - Uncorrected energy: -4.62 eV per atom
# - Spin magnetization: 0.000 μB per formula unit
# - Volume: 19.3 A^3/atom
# - Formation energy without anion corrections: -1.2159 eV per atom